1.
# Sr2RePt

An optimized crystal structure of Sr2RePt (PBE, the Alexandria database).

Cell lengths 5.270, 5.270, 5.270 Å; angles 60.00, 60.00, 60.00 degrees
Atoms (fractional coordinates):
Re  0.000  0.000  0.000
Pt  0.500  0.500  0.500
Sr  0.250  0.250  0.250
Sr  0.750  0.750  0.750

SG = Fm-3m (225)
Calculated formation energy = 0.666 eV per atom

2.
# BiBrCl4

An optimized crystal structure of BiBrCl4 (PBE, the Alexandria database).

Cell lengths 7.054, 7.561, 10.350 Å; angles 68.58, 88.66, 86.34 degrees
Atoms (fractional coordinates):
Bi  0.750  0.054  0.392
Bi  0.250  0.946  0.608
Br  0.250  0.345  0.809
Br  0.750  0.655  0.191
Cl  0.397  0.045  0.816
Cl  0.103  0.639  0.816
Cl  0.414  0.248  0.409
Cl  0.586  0.752  0.591
Cl  0.914  0.157  0.591
Cl  0.897  0.361  0.184
Cl  0.086  0.843  0.409
Cl  0.603  0.955  0.184

SG = C2/c (15)
Formation energy from raw total energies = -0.652 eV/atom

3.
# PrHf2C

An optimized crystal structure of PrHf2C (PBE, the Alexandria database).

Cell lengths 3.294, 3.294, 9.320 Å; angles 79.82, 79.82, 60.00 degrees
Atoms (fractional coordinates):
Pr  0.000  0.000  0.000
C  0.500  0.500  0.500
Hf  0.122  0.122  0.635
Hf  0.878  0.878  0.365

SG = R-3m (166)
Calculated formation energy = -0.291 eV per atom

4.
# ScHg2Cl

An optimized crystal structure of ScHg2Cl (PBE, the Alexandria database).

Cell lengths 5.539, 3.789, 5.862 Å; angles 58.34, 90.00, 90.00 degrees
Atoms (fractional coordinates):
Cl  0.500  0.750  0.750
Hg  0.000  0.164  0.019
Hg  0.000  0.336  0.481
Sc  0.500  0.250  0.250

SG = P2/m (10)
Formation energy from raw total energies = -0.444 eV/atom

5.
# LiSc2IrPb

An optimized crystal structure of LiSc2IrPb (PBE, the Alexandria database).

Cell lengths 5.012, 4.714, 5.012 Å; angles 90.00, 90.00, 90.00 degrees
Atoms (fractional coordinates):
Pb  0.500  0.500  0.500
Sc  0.000  0.000  0.500
Sc  0.500  0.000  0.000
Ir  0.000  0.000  0.000
Li  0.000  0.500  0.000

SG = P4/mmm (123)
Calculated formation energy = -0.235 eV per atom

6.
# Pa6InN12

An optimized crystal structure of Pa6InN12 (PBE, the Alexandria database).

Cell lengths 6.629, 6.629, 6.629 Å; angles 99.43, 99.43, 99.43 degrees
Atoms (fractional coordinates):
Pa  0.137  0.294  0.598
Pa  0.706  0.402  0.863
Pa  0.402  0.863  0.706
Pa  0.863  0.706  0.402
Pa  0.294  0.598  0.137
Pa  0.598  0.137  0.294
In  0.000  0.000  0.000
N  0.438  0.177  0.589
N  0.177  0.589  0.438
N  0.589  0.438  0.177
N  0.562  0.823  0.411
N  0.823  0.411  0.562
N  0.411  0.562  0.823
N  0.076  0.942  0.673
N  0.327  0.924  0.058
N  0.058  0.327  0.924
N  0.924  0.058  0.327
N  0.673  0.076  0.942
N  0.942  0.673  0.076

SG = R-3 (148)
Formation energy from raw total energies = -1.232 eV/atom

7.
# U3Tl4CoSe8

An optimized crystal structure of U3Tl4CoSe8 (PBE, the Alexandria database).

Cell lengths 8.047, 9.202, 8.046 Å; angles 115.93, 120.00, 90.00 degrees
Atoms (fractional coordinates):
U  0.500  0.500  0.000
U  0.500  0.500  0.500
U  0.000  0.500  0.500
Tl  0.500  0.000  0.000
Tl  0.500  0.000  0.500
Tl  0.000  0.000  0.000
Tl  0.000  0.000  0.500
Co  0.000  0.500  0.000
Se  0.224  0.696  0.972
Se  0.224  0.696  0.449
Se  0.263  0.289  0.526
Se  0.748  0.696  0.972
Se  0.252  0.304  0.028
Se  0.737  0.711  0.474
Se  0.776  0.304  0.551
Se  0.776  0.304  0.028

SG = R-3m (166)
Formation energy from raw total energies = -0.718 eV/atom

8.
# Pm2Nd2YHo4

An optimized crystal structure of Pm2Nd2YHo4 (PBE, the Alexandria database).

Cell lengths 3.626, 9.582, 9.644 Å; angles 115.28, 90.00, 100.91 degrees
Atoms (fractional coordinates):
Pm  0.853  0.706  0.337
Pm  0.147  0.294  0.663
Nd  0.334  0.669  0.999
Nd  0.666  0.331  0.001
Y  0.000  0.000  0.000
Ho  0.815  0.630  0.664
Ho  0.185  0.370  0.336
Ho  0.520  0.039  0.333
Ho  0.480  0.961  0.667

SG = C2/m (12)
Calculated formation energy = 0.004 eV per atom

9.
# RbTl9Sn3

An optimized crystal structure of RbTl9Sn3 (PBE, the Alexandria database).

Cell lengths 6.425, 8.571, 8.845 Å; angles 82.42, 68.70, 68.69 degrees
Atoms (fractional coordinates):
Rb  0.000  0.000  0.000
Tl  0.709  0.789  0.784
Tl  0.291  0.211  0.216
Tl  0.507  0.211  0.784
Tl  0.493  0.789  0.216
Tl  0.643  0.351  0.359
Tl  0.357  0.649  0.641
Tl  0.997  0.649  0.359
Tl  0.003  0.351  0.641
Tl  0.000  0.500  0.000
Sn  0.500  0.500  0.000
Sn  0.000  0.000  0.500
Sn  0.500  0.000  0.500

SG = C2/m (12)
Calculated formation energy = -0.007 eV per atom

10.
# Eu3CuN

An optimized crystal structure of Eu3CuN (PBE, the Alexandria database).

Cell lengths 5.001, 5.001, 5.001 Å; angles 90.00, 90.00, 90.00 degrees
Atoms (fractional coordinates):
Eu  0.000  0.500  0.000
Eu  0.000  0.000  0.500
Eu  0.500  0.000  0.000
Cu  0.500  0.500  0.500
N  0.000  0.000  0.000

SG = Pm-3m (221)
Formation energy from raw total energies = -0.374 eV/atom

11.
# CeNdHg4

An optimized crystal structure of CeNdHg4 (PBE, the Alexandria database).

Cell lengths 3.452, 5.080, 8.769 Å; angles 90.00, 90.00, 90.00 degrees
Atoms (fractional coordinates):
Ce  0.500  0.000  0.500
Nd  0.500  0.500  0.000
Hg  0.000  0.500  0.667
Hg  0.000  0.500  0.333
Hg  0.000  0.000  0.167
Hg  0.000  0.000  0.833

SG = Pmmm (47)
Calculated formation energy = -0.397 eV per atom

12.
# CaHfZrC2

An optimized crystal structure of CaHfZrC2 (PBE, the Alexandria database).

Cell lengths 4.522, 5.258, 4.522 Å; angles 90.00, 90.00, 90.00 degrees
Atoms (fractional coordinates):
Ca  0.500  0.500  0.500
Hf  0.000  0.500  0.000
C  0.000  0.000  0.500
C  0.500  0.000  0.000
Zr  0.000  0.000  0.000

SG = P4/mmm (123)
Calculated formation energy = 1.691 eV per atom

13.
# CsPuN2

An optimized crystal structure of CsPuN2 (PBE, the Alexandria database).

Cell lengths 3.557, 3.557, 7.291 Å; angles 75.88, 75.88, 60.00 degrees
Atoms (fractional coordinates):
Cs  0.500  0.500  0.500
N  0.287  0.287  0.140
N  0.713  0.713  0.860
Pu  0.000  0.000  0.000

SG = R-3m (166)
Formation energy from raw total energies = -0.619 eV/atom

14.
# HfMgCu

An optimized crystal structure of HfMgCu (PBE, the Alexandria database).

Cell lengths 3.029, 3.029, 6.352 Å; angles 103.80, 103.80, 90.00 degrees
Atoms (fractional coordinates):
Mg  0.019  0.019  0.038
Hf  0.314  0.314  0.627
Cu  0.667  0.667  0.335

SG = I4mm (107)
Calculated formation energy = -0.003 eV per atom

15.
# KTl3O3

An optimized crystal structure of KTl3O3 (PBE, the Alexandria database).

Cell lengths 3.778, 9.857, 9.857 Å; angles 120.00, 90.00, 90.00 degrees
Atoms (fractional coordinates):
K  0.250  0.667  0.333
K  0.750  0.333  0.667
Tl  0.750  0.960  0.635
Tl  0.750  0.675  0.040
Tl  0.250  0.635  0.675
Tl  0.750  0.365  0.325
Tl  0.250  0.325  0.960
Tl  0.250  0.040  0.365
O  0.750  0.645  0.530
O  0.750  0.885  0.355
O  0.250  0.530  0.885
O  0.750  0.470  0.115
O  0.250  0.115  0.645
O  0.250  0.355  0.470

SG = P6_3/m (176)
Formation energy from raw total energies = -0.623 eV/atom

16.
# VRe4I2

An optimized crystal structure of VRe4I2 (PBE, the Alexandria database).

Cell lengths 4.680, 4.680, 7.455 Å; angles 71.71, 71.71, 90.00 degrees
Atoms (fractional coordinates):
I  0.629  0.629  0.743
I  0.371  0.371  0.257
Re  0.831  0.831  0.338
Re  0.169  0.169  0.662
Re  0.000  0.500  0.000
Re  0.500  0.000  0.000
V  0.000  0.000  0.000

SG = I4/mmm (139)
Formation energy from raw total energies = 2.149 eV/atom

17.
# Dy4HoSe6

An optimized crystal structure of Dy4HoSe6 (PBE, the Alexandria database).

Cell lengths 3.978, 6.983, 20.726 Å; angles 90.00, 90.00, 106.55 degrees
Atoms (fractional coordinates):
Dy  0.859  0.719  0.538
Dy  0.411  0.821  0.127
Dy  0.141  0.281  0.462
Dy  0.589  0.179  0.873
Dy  0.859  0.719  0.962
Dy  0.141  0.281  0.038
Dy  0.589  0.179  0.627
Dy  0.411  0.821  0.373
Ho  0.652  0.304  0.250
Ho  0.348  0.696  0.750
Se  0.500  0.000  0.000
Se  0.500  0.000  0.500
Se  0.054  0.107  0.333
Se  0.946  0.893  0.667
Se  0.946  0.893  0.833
Se  0.054  0.107  0.167
Se  0.769  0.538  0.409
Se  0.231  0.462  0.591
Se  0.231  0.462  0.909
Se  0.769  0.538  0.091
Se  0.308  0.615  0.250
Se  0.692  0.385  0.750

SG = Cmcm (63)
Formation energy from raw total energies = -1.812 eV/atom

18.
# Th5Tl2Os2

An optimized crystal structure of Th5Tl2Os2 (PBE, the Alexandria database).

Cell lengths 7.495, 8.452, 9.238 Å; angles 117.22, 90.00, 90.00 degrees
Atoms (fractional coordinates):
Th  0.000  0.000  0.000
Th  0.500  0.500  0.000
Th  0.849  0.788  0.228
Th  0.151  0.440  0.228
Th  0.349  0.940  0.228
Th  0.651  0.288  0.228
Th  0.151  0.212  0.772
Th  0.849  0.560  0.772
Th  0.651  0.060  0.772
Th  0.349  0.712  0.772
Tl  0.000  0.217  0.433
Tl  0.500  0.717  0.433
Tl  0.000  0.783  0.567
Tl  0.500  0.283  0.567
Os  0.650  0.880  0.000
Os  0.350  0.120  0.000
Os  0.150  0.620  0.000
Os  0.850  0.380  0.000

SG = Cmce (64)
Calculated formation energy = -0.262 eV per atom

19.
# InSi3I

An optimized crystal structure of InSi3I (PBE, the Alexandria database).

Cell lengths 5.239, 5.239, 5.239 Å; angles 90.00, 90.00, 90.00 degrees
Atoms (fractional coordinates):
I  0.500  0.500  0.500
Si  0.000  0.500  0.000
Si  0.000  0.000  0.500
Si  0.500  0.000  0.000
In  0.000  0.000  0.000

SG = Pm-3m (221)
Formation energy from raw total energies = 1.236 eV/atom

20.
# Er3Ag5

An optimized crystal structure of Er3Ag5 (PBE, the Alexandria database).

Cell lengths 3.776, 7.453, 7.453 Å; angles 120.00, 90.00, 90.00 degrees
Atoms (fractional coordinates):
Er  0.500  0.000  0.614
Er  0.500  0.614  0.000
Er  0.500  0.386  0.386
Ag  0.000  0.667  0.333
Ag  0.000  0.333  0.667
Ag  0.000  0.000  0.233
Ag  0.000  0.233  0.000
Ag  0.000  0.767  0.767

SG = P-62m (189)
Calculated formation energy = -0.256 eV per atom